The following is a DFT calculation (PBE) of an optimized crystal structure of Pa3Mn4BiN12.

Cell lengths 7.060, 7.060, 7.060 Å; angles 104.73, 104.73, 104.73 degrees
Fractional positions:
N 0.890 0.500 0.110
N 0.110 0.890 0.500
N 0.656 0.500 0.344
N 0.344 0.656 0.500
Bi 0.000 0.000 0.000
Pa 0.000 0.547 0.453
Mn 0.047 0.500 0.953
N 0.348 0.975 0.204
N 0.500 0.110 0.890
Mn 0.500 0.500 0.500
N 0.975 0.204 0.348
Mn 0.500 0.953 0.047
N 0.204 0.348 0.975
Pa 0.547 0.453 0.000
N 0.500 0.344 0.656
Pa 0.453 0.000 0.547
N 0.025 0.652 0.796
N 0.796 0.025 0.652
Mn 0.953 0.047 0.500
N 0.652 0.796 0.025

Computed properties:
The magnetic moment is 0.499 μB per atom. Its space group is R32 (155). As for the raw formation energy: -0.3306 eV/atom.